(1)
{
  "formula": "TbPm2PrY5",
  "functional": "GGA-PBE",
  "state": "relaxed",
  "lattice_angstrom": [[-4.341, 4.341, 7.889], [4.341, -4.341, 7.889], [4.341, 4.341, -7.889]],
  "species": ["Tb", "Tb", "Pm", "Pm", "Pm", "Pm", "Pr", "Pr", "Y", "Y", "Y", "Y", "Y", "Y", "Y", "Y", "Y", "Y"],
  "frac_coords": [[0.250, 0.250, 0.000], [0.750, 0.750, 0.000], [0.118, 0.618, 0.736], [0.382, 0.118, 0.500], [0.618, 0.882, 0.500], [0.882, 0.382, 0.264], [0.250, 0.750, 0.500], [0.750, 0.250, 0.500], [0.000, 0.000, 0.000], [0.070, 0.156, 0.500], [0.156, 0.656, 0.086], [0.344, 0.430, 0.500], [0.430, 0.930, 0.086], [0.500, 0.500, 0.000], [0.570, 0.070, 0.914], [0.656, 0.570, 0.500], [0.844, 0.344, 0.914], [0.930, 0.844, 0.500]],
  "spacegroup": "I4/mcm",
  "m_tot_mub_per_cell": 0.00,
  "ef_kcal_per_mol_atoms": 5.59,
  "total_energy_ev_per_atom": -5.450,
  "crystal_system": "tetragonal"
}

***

(2)
{
  "formula": "TbPr4Nd7",
  "functional": "GGA-PBE",
  "state": "relaxed",
  "lattice_angstrom": [[8.286, -3.062, 0.000], [8.286, 3.062, 0.000], [-4.156, 0.000, 8.498]],
  "species": ["Tb", "Pr", "Pr", "Pr", "Pr", "Nd", "Nd", "Nd", "Nd", "Nd", "Nd", "Nd"],
  "frac_coords": [[0.000, 0.000, 0.000], [0.327, 0.327, 0.612], [0.425, 0.425, 0.299], [0.575, 0.575, 0.701], [0.673, 0.673, 0.388], [0.081, 0.081, 0.435], [0.207, 0.207, 0.222], [0.209, 0.209, 0.875], [0.500, 0.500, 0.000], [0.791, 0.791, 0.125], [0.793, 0.793, 0.778], [0.919, 0.919, 0.565]],
  "e_above_lowest_polymorph_kj_per_mol_fu": 220.8,
  "spacegroup": "C2/m",
  "m_tot_mub_per_cell": 0.43,
  "ef_kcal_per_mol_atoms": 4.69,
  "total_energy_ev_per_atom": -4.557,
  "crystal_system": "monoclinic"
}

***

(3)
{
  "formula": "Tb12Y2Tm5",
  "functional": "GGA-PBE",
  "state": "relaxed",
  "lattice_angstrom": [[8.543, -3.415, 0.000], [8.543, 3.415, 0.000], [-2.945, 0.000, 10.735]],
  "species": ["Tb", "Tb", "Tb", "Tb", "Tb", "Tb", "Tb", "Tb", "Tb", "Tb", "Tb", "Tb", "Y", "Y", "Tm", "Tm", "Tm", "Tm", "Tm"],
  "frac_coords": [[0.052, 0.052, 0.270], [0.070, 0.545, 0.774], [0.150, 0.625, 0.248], [0.375, 0.850, 0.752], [0.420, 0.420, 0.576], [0.455, 0.930, 0.226], [0.545, 0.070, 0.774], [0.580, 0.580, 0.424], [0.625, 0.150, 0.248], [0.850, 0.375, 0.752], [0.930, 0.455, 0.226], [0.948, 0.948, 0.730], [0.247, 0.753, 0.000], [0.753, 0.247, 0.000], [0.000, 0.000, 0.500], [0.208, 0.208, 0.508], [0.226, 0.226, 0.995], [0.774, 0.774, 0.005], [0.792, 0.792, 0.492]],
  "e_above_lowest_polymorph_kj_per_mol_fu": 387.0,
  "spacegroup": "C2/m",
  "m_tot_mub_per_cell": 0.00,
  "ef_kcal_per_mol_atoms": 6.35,
  "total_energy_ev_per_atom": -4.506,
  "crystal_system": "monoclinic"
}

***

(4)
{
  "formula": "Ir2WBr",
  "functional": "GGA-PBE",
  "state": "relaxed",
  "lattice_angstrom": [[-3.143, 3.143, 4.590], [3.143, -3.143, 4.590], [3.143, 3.143, -4.590]],
  "species": ["Ir", "Ir", "Ir", "Ir", "W", "W", "Br", "Br"],
  "frac_coords": [[0.103, 0.625, 0.978], [0.375, 0.353, 0.478], [0.647, 0.125, 0.022], [0.875, 0.897, 0.522], [0.000, 0.000, 0.000], [0.750, 0.250, 0.500], [0.250, 0.750, 0.500], [0.500, 0.500, 0.000]],
  "e_above_lowest_polymorph_kj_per_mol_fu": 236.5,
  "spacegroup": "I-42d",
  "m_tot_mub_per_cell": 0.00,
  "total_energy_ev_per_atom": -7.222,
  "crystal_system": "tetragonal"
}

***

(5)
{
  "formula": "CrPd3S",
  "functional": "GGA-PBE",
  "state": "relaxed",
  "lattice_angstrom": [[4.486, 0.000, 0.000], [0.000, 4.486, 0.000], [0.000, 0.000, 4.486]],
  "species": ["Cr", "Pd", "Pd", "Pd", "S"],
  "frac_coords": [[0.000, 0.000, 0.000], [0.000, 0.500, 0.500], [0.500, 0.000, 0.500], [0.500, 0.500, 0.000], [0.500, 0.500, 0.500]],
  "e_above_lowest_polymorph_kj_per_mol_fu": 0.0,
  "spacegroup": "Pm-3m",
  "m_tot_mub_per_cell": 4.47,
  "total_energy_ev_per_atom": -5.750,
  "crystal_system": "cubic"
}

***

(6)
{
  "formula": "Tb5Pr4Dy3",
  "functional": "GGA-PBE",
  "state": "relaxed",
  "lattice_angstrom": [[8.119, -2.985, 0.000], [8.119, 2.985, 0.000], [-4.233, 0.000, 8.436]],
  "species": ["Tb", "Tb", "Tb", "Tb", "Tb", "Pr", "Pr", "Pr", "Pr", "Dy", "Dy", "Dy"],
  "frac_coords": [[0.000, 0.000, 0.000], [0.329, 0.329, 0.614], [0.428, 0.428, 0.299], [0.572, 0.572, 0.701], [0.671, 0.671, 0.386], [0.084, 0.084, 0.445], [0.216, 0.216, 0.881], [0.784, 0.784, 0.119], [0.916, 0.916, 0.555], [0.211, 0.211, 0.234], [0.500, 0.500, 0.000], [0.789, 0.789, 0.766]],
  "spacegroup": "C2/m",
  "m_tot_mub_per_cell": 0.42,
  "ef_kcal_per_mol_atoms": 5.10,
  "total_energy_ev_per_atom": -4.452,
  "crystal_system": "monoclinic"
}

***

(7)
{
  "formula": "Ba4Na2F",
  "functional": "GGA-PBE",
  "state": "relaxed",
  "lattice_angstrom": [[-2.774, 2.774, 10.860], [2.774, -2.774, 10.860], [2.774, 2.774, -10.860]],
  "species": ["Ba", "Ba", "Ba", "Ba", "Na", "Na", "F"],
  "frac_coords": [[0.000, 0.500, 0.500], [0.184, 0.184, 0.000], [0.500, 0.000, 0.500], [0.816, 0.816, 0.000], [0.367, 0.367, 0.000], [0.633, 0.633, 0.000], [0.000, 0.000, 0.000]],
  "spacegroup": "I4/mmm",
  "m_tot_mub_per_cell": 0.00,
  "total_energy_ev_per_atom": -2.440,
  "crystal_system": "tetragonal"
}

***

(8)
{
  "formula": "KCuBr2",
  "functional": "GGA-PBE",
  "state": "relaxed",
  "lattice_angstrom": [[4.516, -2.602, 0.000], [4.516, 2.602, 0.000], [-2.617, 0.000, 7.445]],
  "species": ["K", "Cu", "Br", "Br"],
  "frac_coords": [[0.000, 0.000, 0.000], [0.500, 0.500, 0.500], [0.391, 0.391, 0.200], [0.609, 0.609, 0.800]],
  "e_above_lowest_polymorph_kj_per_mol_fu": 7.1,
  "spacegroup": "C2/m",
  "m_tot_mub_per_cell": 0.13,
  "total_energy_ev_per_atom": -3.113,
  "crystal_system": "monoclinic"
}

***

(9)
{
  "formula": "YEr2Sc",
  "functional": "GGA-PBE",
  "state": "relaxed",
  "lattice_angstrom": [[0.000, 3.903, 3.903], [3.903, 0.000, 3.903], [3.903, 3.903, 0.000]],
  "species": ["Y", "Er", "Er", "Sc"],
  "frac_coords": [[0.000, 0.000, 0.000], [0.250, 0.250, 0.250], [0.750, 0.750, 0.750], [0.500, 0.500, 0.500]],
  "e_above_lowest_polymorph_kj_per_mol_fu": 47.3,
  "spacegroup": "Fm-3m",
  "m_tot_mub_per_cell": 0.01,
  "ef_kcal_per_mol_atoms": 3.23,
  "total_energy_ev_per_atom": -5.340,
  "crystal_system": "cubic"
}